Record 1
A plane-wave DFT calculation with PBE was carried out for a relaxed structure of HoPuReRu.

POSCAR file:
```
HoPuReRu
1.0
-4.058 1.681 1.896
-0.678 -0.168 4.733
0.052 4.036 2.569
Re Ru Ho Pu
1 1 1 1
direct
0.250 0.250 0.250
0.750 0.750 0.750
0.000 0.000 0.000
0.500 0.500 0.500
```

## Properties
Its space group is No. 216. For the density, the calculation gives 14.9 g/cm³. For the calculated formation energy, the calculation gives 19 meV per atom.

---

Record 2
A plane-wave DFT calculation with PBE was carried out for a relaxed structure of Pm4CdTe2Se.

POSCAR file:
```
Pm4CdTe2Se
1.0
-0.494 -3.757 2.037
7.348 0.237 2.218
0.380 3.612 6.754
Pm Cd Te Se
4 1 2 1
direct
0.000 0.742 0.748
0.000 0.258 0.252
0.500 0.732 0.263
0.500 0.268 0.737
0.500 0.500 0.000
0.000 0.000 0.000
0.500 0.000 0.500
0.000 0.500 0.500
```

## Properties
Its space group is No. 10. For the density, the calculation gives 7.1 g/cm³. For the total energy, the calculation gives -39.4 eV/f.u.

---

Record 3
A plane-wave DFT calculation with PBE was carried out for a relaxed structure of LiSnN2O.

POSCAR file:
```
LiSnN2O
1.0
4.244 0.000 0.000
0.000 4.244 0.000
0.000 0.000 4.105
Li Sn O N
1 1 1 2
direct
0.500 0.500 0.500
0.000 0.000 0.000
0.000 0.000 0.500
0.000 0.500 0.000
0.500 0.000 0.000
```

## Properties
Its space group is No. 123. For the density, the calculation gives 3.8 g/cm³. For the total energy, the calculation gives -24.8 eV/f.u.

---

Record 4
A plane-wave DFT calculation with PBE was carried out for a relaxed structure of AcZnAs.

POSCAR file:
```
AcZnAs
1.0
-1.274 1.627 -3.836
-3.971 -1.690 0.602
1.336 3.770 3.629
Zn Ac As
1 1 1
direct
0.265 0.265 0.529
0.613 0.613 0.226
0.973 0.973 0.945
```

## Properties
Its space group is No. 107. For the density, the calculation gives 7.2 g/cm³. For the calculated formation energy, the calculation gives -518 meV per atom.

---

Record 5
A plane-wave DFT calculation with PBE was carried out for a relaxed structure of LaDy2Ge2Pt7.

POSCAR file:
```
LaDy2Ge2Pt7
1.0
4.115 0.035 -0.057
0.040 4.115 -0.057
1.849 1.847 13.912
La Dy Ge Pt
1 2 2 7
direct
0.000 0.000 0.000
0.875 0.875 0.361
0.125 0.125 0.639
0.607 0.607 0.737
0.393 0.393 0.263
0.500 0.500 0.000
0.363 0.363 0.434
0.637 0.637 0.566
0.932 0.432 0.164
0.432 0.932 0.164
0.568 0.068 0.836
0.068 0.568 0.836
```

## Properties
Its space group is No. 12. For the density, the calculation gives 13.9 g/cm³. For the calculated formation energy, the calculation gives -912 meV per atom.

---

Record 6
A plane-wave DFT calculation with PBE was carried out for a relaxed structure of PaCdAu4.

POSCAR file:
```
PaCdAu4
1.0
-3.892 3.830 -1.286
-5.316 -1.578 -0.846
-3.954 1.346 3.744
Pa Au Cd
1 4 1
direct
0.000 0.000 0.000
0.625 0.625 0.126
0.625 0.126 0.625
0.625 0.625 0.625
0.126 0.625 0.625
0.250 0.250 0.250
```

## Properties
Its space group is No. 216. For the density, the calculation gives 15.1 g/cm³. For the calculated formation energy, the calculation gives -173 meV per atom.